No. 1
Below is an optimized crystal structure of Na3FeN, with properties calculated at the GGA-PBE level.

Results
space group: No. 221
crystal system: cubic
offset from the most stable computed form: 0 meV/atom
raw formation energy: 0.872 eV/atom
Fermi-level density of states: 0.82 states/eV per atom
total DFT energy (no corrections): -3.28 eV/atom

a = 4.763 Å, b = 4.763 Å, c = 4.763 Å
α = 90.00°, β = 90.00°, γ = 90.00°
Atoms (fractional coordinates):
Na1 0.000 0.500 0.000
Na2 0.000 0.000 0.500
Na3 0.500 0.000 0.000
Fe1 0.500 0.500 0.500
N1 0.000 0.000 0.000

No. 2
Below is an optimized crystal structure of NaFeN, with properties calculated at the GGA-PBE level.

Results
space group: No. 12
crystal system: monoclinic
offset from the most stable computed form: 21 meV/atom
raw formation energy: -0.090 eV/atom
Fermi-level density of states: 0.93 states/eV per atom
total DFT energy (no corrections): -6.13 eV/atom

a = 3.526 Å, b = 4.955 Å, c = 5.981 Å
α = 65.72°, β = 107.17°, γ = 90.00°
Atoms (fractional coordinates):
Na1 0.688 0.440 0.637
Na2 0.493 0.133 0.246
Fe1 0.916 0.710 0.092
Fe2 0.265 0.863 0.791
N1 0.446 0.679 0.152
N2 0.735 0.894 0.731

No. 3
Below is an optimized crystal structure of NaFeN, with properties calculated at the GGA-PBE level.

Results
space group: No. 160
crystal system: trigonal
offset from the most stable computed form: 32 meV/atom
raw formation energy: -0.079 eV/atom
Fermi-level density of states: 0.05 states/eV per atom
total DFT energy (no corrections): -6.11 eV/atom

a = 3.007 Å, b = 3.007 Å, c = 14.825 Å
α = 90.00°, β = 90.00°, γ = 120.00°
Atoms (fractional coordinates):
Na1 0.000 0.000 0.559
Na2 0.333 0.667 0.226
Na3 0.667 0.333 0.893
Fe1 0.000 0.000 0.064
Fe2 0.333 0.667 0.730
Fe3 0.667 0.333 0.397
N1 0.000 0.000 0.761
N2 0.333 0.667 0.428
N3 0.667 0.333 0.095

No. 4
Below is an optimized crystal structure of NaFeN, with properties calculated at the GGA-PBE level.

Results
space group: No. 156
crystal system: trigonal
offset from the most stable computed form: 44 meV/atom
raw formation energy: -0.067 eV/atom
Fermi-level density of states: 0.09 states/eV per atom
total DFT energy (no corrections): -6.10 eV/atom

a = 3.009 Å, b = 3.009 Å, c = 4.978 Å
α = 90.00°, β = 90.00°, γ = 120.00°
Atoms (fractional coordinates):
Na1 0.000 0.000 0.044
Fe1 0.333 0.667 0.524
N1 0.667 0.333 0.432

No. 5
Below is an optimized crystal structure of NaFe2N2, with properties calculated at the GGA-PBE level.

Results
space group: No. 139
crystal system: tetragonal
raw formation energy: 0.156 eV/atom
Fermi-level density of states: 0.73 states/eV per atom
total DFT energy (no corrections): -6.82 eV/atom

a = 3.783 Å, b = 3.783 Å, c = 5.770 Å
α = 70.86°, β = 70.86°, γ = 90.00°
Atoms (fractional coordinates):
Na1 0.000 0.000 0.000
Fe1 0.271 0.271 0.459
Fe2 0.729 0.729 0.541
N1 0.750 0.250 0.500
N2 0.250 0.750 0.500

No. 6
Below is an optimized crystal structure of NaFeN, with properties calculated at the GGA-PBE level.

Results
space group: No. 129
crystal system: tetragonal
offset from the most stable computed form: 23 meV/atom
raw formation energy: -0.088 eV/atom
Fermi-level density of states: 0.56 states/eV per atom
total DFT energy (no corrections): -6.12 eV/atom

a = 3.352 Å, b = 3.352 Å, c = 8.281 Å
α = 90.00°, β = 90.00°, γ = 90.00°
Atoms (fractional coordinates):
Na1 0.000 0.500 0.695
Na2 0.500 0.000 0.305
Fe1 0.000 0.000 0.000
Fe2 0.500 0.500 0.000
N1 0.000 0.500 0.111
N2 0.500 0.000 0.889

No. 7
Below is an optimized crystal structure of NaNbFeN3, with properties calculated at the GGA-PBE level.

Results
space group: No. 11
crystal system: monoclinic
raw formation energy: -0.395 eV/atom
Fermi-level density of states: 0.46 states/eV per atom
total DFT energy (no corrections): -7.87 eV/atom

a = 3.174 Å, b = 6.599 Å, c = 8.817 Å
α = 110.92°, β = 90.00°, γ = 90.00°
Atoms (fractional coordinates):
Na1 0.250 0.208 0.185
Na2 0.750 0.792 0.815
Nb1 0.250 0.684 0.126
Nb2 0.750 0.316 0.874
Fe1 0.250 0.049 0.605
Fe2 0.750 0.951 0.395
N1 0.750 0.902 0.168
N2 0.250 0.098 0.832
N3 0.250 0.820 0.410
N4 0.750 0.180 0.590
N5 0.750 0.441 0.113
N6 0.250 0.559 0.887

No. 8
Below is an optimized crystal structure of Na4Np3FeN8, with properties calculated at the GGA-PBE level.

Results
space group: No. 166
crystal system: trigonal
raw formation energy: -0.585 eV/atom
Fermi-level density of states: 0.89 states/eV per atom
total DFT energy (no corrections): -8.03 eV/atom

a = 6.762 Å, b = 6.840 Å, c = 6.767 Å
α = 119.63°, β = 119.98°, γ = 90.00°
Atoms (fractional coordinates):
Na1 0.500 0.000 0.000
Na2 0.500 0.000 0.500
Na3 0.000 0.000 0.000
Na4 0.000 0.000 0.500
Np1 0.500 0.500 0.000
Np2 0.500 0.500 0.500
Np3 0.000 0.500 0.500
Fe1 0.000 0.500 0.000
N1 0.235 0.683 0.948
N2 0.235 0.683 0.471
N3 0.271 0.313 0.542
N4 0.713 0.683 0.948
N5 0.287 0.317 0.052
N6 0.729 0.687 0.458
N7 0.765 0.317 0.529
N8 0.765 0.317 0.052

No. 9
Below is an optimized crystal structure of Na3Np3FeN8, with properties calculated at the GGA-PBE level.

Results
space group: No. 12
crystal system: monoclinic
raw formation energy: -0.538 eV/atom
Fermi-level density of states: 0.76 states/eV per atom
total DFT energy (no corrections): -8.39 eV/atom

a = 6.471 Å, b = 6.867 Å, c = 6.738 Å
α = 118.87°, β = 90.00°, γ = 118.11°
Atoms (fractional coordinates):
Na1 0.000 0.000 0.000
Na2 0.000 0.500 0.000
Na3 0.500 0.500 0.000
Np1 0.500 0.000 0.500
Np2 0.500 0.500 0.500
Np3 0.000 0.500 0.500
Fe1 0.000 0.000 0.500
N1 0.269 0.538 0.308
N2 0.731 0.462 0.692
N3 0.738 0.475 0.296
N4 0.262 0.525 0.704
N5 0.790 0.056 0.341
N6 0.210 0.944 0.659
N7 0.267 0.056 0.341
N8 0.733 0.944 0.659